(1)
Below is a relaxed structure of Th2SbPd2, with properties calculated at the PBE level.

Structure (POSCAR):
```
Th2SbPd2
1.0
7.742 0.000 0.000
0.000 7.742 0.000
0.000 0.000 4.012
Th Sb Pd
4 2 4
direct
0.177 0.323 0.000
0.323 0.823 0.000
0.677 0.177 0.000
0.823 0.677 0.000
0.000 0.000 0.500
0.500 0.500 0.500
0.126 0.626 0.500
0.374 0.126 0.500
0.626 0.874 0.500
0.874 0.374 0.500
```

Results
ρ	11.03	Mg/m³
total energy	-6.7746	eV per atom

---

(2)
Below is a relaxed structure of TlSbPd, with properties calculated at the PBE level.

Structure (POSCAR):
```
TlSbPd
1.0
0.000 3.317 3.317
3.317 0.000 3.317
3.317 3.317 0.000
Tl Sb Pd
1 1 1
direct
0.000 0.000 0.000
0.500 0.500 0.500
0.750 0.750 0.750
```

Results
ρ	9.84	Mg/m³
ΔE to the lowest computed polymorph	0	meV/atom
total energy	-4.0667	eV per atom

---

(3)
Below is a relaxed structure of Tm2Sb2Pd, with properties calculated at the PBE level.

Structure (POSCAR):
```
Tm2Sb2Pd
1.0
4.359 0.000 0.000
-2.179 3.775 0.000
0.000 0.000 18.248
Tm Sb Pd
4 4 2
direct
0.333 0.667 0.154
0.333 0.667 0.346
0.667 0.333 0.654
0.667 0.333 0.846
0.333 0.667 0.571
0.333 0.667 0.929
0.667 0.333 0.071
0.667 0.333 0.429
0.000 0.000 0.000
0.000 0.000 0.500
```

Results
ρ	7.61	Mg/m³
total energy	-4.6483	eV per atom

---

> Which formula does entry 1 have?

Th2SbPd2